(1)
Entry from Alexandria via LeMat-Bulk: a relaxed structure of DyZn4Cu (PBE).

a b c (Å): 4.005 15.345 6.720
angles (deg): 90.00 90.00 90.00
Space group Cmcm (No. 63)
Unique sites:
1 Dy 0.000 0.123 0.250 (multiplicity 4)
2 Zn 0.000 0.073 0.750 (multiplicity 4)
3 Zn 0.000 0.323 0.059 (multiplicity 8)
4 Zn 0.000 0.500 0.000 (multiplicity 4)
5 Cu 0.000 0.234 0.750 (multiplicity 4)

Summary:
- N(E_F): 13.1 states/eV/cell
- Offset from the most stable computed form: 0.0 meV per atom
- Uncorrected energy: -60.821 eV per cell
- Formation energy from the elements: -235 meV/atom
- Crystal system: orthorhombic
- ρ: 7.84 Mg/m³
- Total magnetic moment: 0.0 μB/f.u.

***

(2)
Entry from Alexandria via LeMat-Bulk: a relaxed structure of Tb4Pm15Y (PBE).

a b c (Å): 5.139 5.139 25.615
angles (deg): 90.00 90.00 90.00
Space group P4/mmm (No. 123)
Unique sites:
1 Tb 0.000 0.000 0.100 (multiplicity 2)
2 Tb 0.000 0.000 0.300 (multiplicity 2)
3 Pm 0.000 0.500 0.000 (multiplicity 2)
4 Pm 0.000 0.500 0.200 (multiplicity 4)
5 Pm 0.000 0.500 0.400 (multiplicity 4)
6 Pm 0.500 0.500 0.100 (multiplicity 2)
7 Pm 0.500 0.500 0.300 (multiplicity 2)
8 Pm 0.500 0.500 0.500 (multiplicity 1)
9 Y 0.000 0.000 0.500 (multiplicity 1)

Summary:
- N(E_F): 27.8 states/eV/cell
- Uncorrected energy: -95.974 eV per cell
- Formation energy from the elements: 13 meV/atom
- Crystal system: tetragonal
- ρ: 7.12 Mg/m³
- Total magnetic moment: 0.0 μB/f.u.

***

(3)
Entry from Alexandria via LeMat-Bulk: a relaxed structure of K2MgSi2 (PBE).

a b c (Å): 3.550 3.550 24.161
angles (deg): 90.00 90.00 90.00
Space group I4/mmm (No. 139)
Unique sites:
1 K 0.000 0.000 0.126 (multiplicity 4)
2 Mg 0.000 0.000 0.500 (multiplicity 2)
3 Si 0.000 0.500 0.250 (multiplicity 4)

Summary:
- N(E_F): 6.0 states/eV/cell
- Offset from the most stable computed form: 92.2 meV per atom
- Uncorrected energy: -26.508 eV per cell
- Uncorrected formation energy: 0.276 eV/atom
- Crystal system: tetragonal
- ρ: 1.73 Mg/m³
- Total magnetic moment: 0.0 μB/f.u.

***

(4)
Entry from Alexandria via LeMat-Bulk: a relaxed structure of EuHoTmMg (PBE).

a b c (Å): 7.875 7.875 7.875
angles (deg): 90.00 90.00 90.00
Space group F-43m (No. 216)
Unique sites:
1 Eu 0.000 0.000 0.000 (multiplicity 4)
2 Ho 0.000 0.000 0.500 (multiplicity 4)
3 Tm 0.250 0.250 0.750 (multiplicity 4)
4 Mg 0.250 0.250 0.250 (multiplicity 4)

Summary:
- N(E_F): 11.5 states/eV/cell
- Uncorrected energy: -82.507 eV per cell
- Formation energy from the elements: 73 meV/atom
- Crystal system: cubic
- ρ: 6.94 Mg/m³
- Total magnetic moment: 7.1 μB/f.u.

***

(5)
Entry from Alexandria via LeMat-Bulk: a relaxed structure of TaRuPb2 (PBE).

a b c (Å): 4.526 4.827 7.355
angles (deg): 90.00 90.00 90.00
Space group Cmmm (No. 65)
Unique sites:
1 Ta 0.000 0.000 0.000 (multiplicity 2)
2 Ru 0.000 0.000 0.500 (multiplicity 2)
3 Pb 0.000 0.500 0.270 (multiplicity 4)

Summary:
- N(E_F): 5.4 states/eV/cell
- Offset from the most stable computed form: 550.5 meV per atom
- Uncorrected energy: -51.921 eV per cell
- Formation energy from the elements: 646 meV/atom
- Crystal system: orthorhombic
- ρ: 14.39 Mg/m³
- Total magnetic moment: 0.0 μB/f.u.

***

(6)
Entry from Alexandria via LeMat-Bulk: a relaxed structure of DyAlI (PBE).

a b c (Å): 7.413 4.280 12.480
angles (deg): 90.00 101.53 90.00
Space group C2/m (No. 12)
Unique sites:
1 Dy 0.056 0.000 0.167 (multiplicity 4)
2 Al 0.161 0.500 0.984 (multiplicity 4)
3 I 0.223 0.000 0.673 (multiplicity 4)

Summary:
- N(E_F): 2.8 states/eV/cell
- Uncorrected energy: -50.210 eV per cell
- Uncorrected formation energy: -0.886 eV/atom
- Crystal system: monoclinic
- ρ: 5.42 Mg/m³
- Total magnetic moment: 0.0 μB/f.u.

***

(7)
Entry from Alexandria via LeMat-Bulk: a relaxed structure of Pu2Nb (PBE).

a b c (Å): 3.770 3.770 9.304
angles (deg): 90.00 90.00 90.00
Space group I4/mmm (No. 139)
Unique sites:
1 Pu 0.000 0.000 0.165 (multiplicity 4)
2 Nb 0.000 0.000 0.500 (multiplicity 2)

Summary:
- N(E_F): 20.1 states/eV/cell
- Uncorrected energy: -75.472 eV per cell
- Formation energy from the elements: 332 meV/atom
- Crystal system: tetragonal
- ρ: 14.59 Mg/m³
- Total magnetic moment: 9.4 μB/f.u.

***

(8)
Entry from Alexandria via LeMat-Bulk: a relaxed structure of Tb6DyTh (PBE).

a b c (Å): 6.584 6.649 6.766
angles (deg): 60.88 84.73 87.78
Space group P-1 (No. 2)
Unique sites:
1 Tb 0.241 0.068 0.019 (multiplicity 2)
2 Tb 0.251 0.027 0.520 (multiplicity 2)
3 Tb 0.256 0.567 0.010 (multiplicity 2)
4 Dy 0.000 0.500 0.500 (multiplicity 1)
5 Th 0.500 0.500 0.500 (multiplicity 1)

Summary:
- N(E_F): 14.4 states/eV/cell
- Offset from the most stable computed form: 185.7 meV per atom
- Uncorrected energy: -38.074 eV per cell
- Formation energy from the elements: 216 meV/atom
- Crystal system: triclinic
- ρ: 8.69 Mg/m³
- Total magnetic moment: 0.0 μB/f.u.

***

(9)
Entry from Alexandria via LeMat-Bulk: a relaxed structure of GeNF2 (PBE).

a b c (Å): 5.817 5.817 5.817
angles (deg): 90.00 90.00 90.00
Space group Fm-3m (No. 225)
Unique sites:
1 Ge 0.000 0.000 0.000 (multiplicity 4)
2 N 0.000 0.000 0.500 (multiplicity 4)
3 F 0.250 0.250 0.250 (multiplicity 8)

Summary:
- N(E_F): 0.0 states/eV/cell
- Offset from the most stable computed form: 45.8 meV per atom
- Uncorrected energy: -65.824 eV per cell
- Uncorrected formation energy: 0.057 eV/atom
- Crystal system: cubic
- ρ: 4.21 Mg/m³
- Total magnetic moment: 3.0 μB/f.u.

***

(10)
Entry from Alexandria via LeMat-Bulk: a relaxed structure of TaSb2PdRu (PBE).

a b c (Å): 5.256 5.256 4.858
angles (deg): 90.00 90.00 90.00
Space group P4/mmm (No. 123)
Unique sites:
1 Ta 0.000 0.000 0.000 (multiplicity 1)
2 Sb 0.000 0.500 0.000 (multiplicity 2)
3 Pd 0.000 0.000 0.500 (multiplicity 1)
4 Ru 0.500 0.500 0.500 (multiplicity 1)

Summary:
- N(E_F): 9.4 states/eV/cell
- Uncorrected energy: -27.961 eV per cell
- Uncorrected formation energy: 1.321 eV/atom
- Crystal system: tetragonal
- ρ: 7.82 Mg/m³
- Total magnetic moment: 2.1 μB/f.u.

***

(11)
Entry from Alexandria via LeMat-Bulk: a relaxed structure of TbSm2Tl (PBE).

a b c (Å): 7.832 7.832 7.832
angles (deg): 90.00 90.00 90.00
Space group F-43m (No. 216)
Unique sites:
1 Tb 0.000 0.000 0.000 (multiplicity 4)
2 Sm 0.000 0.000 0.500 (multiplicity 4)
3 Sm 0.250 0.250 0.750 (multiplicity 4)
4 Tl 0.250 0.250 0.250 (multiplicity 4)

Summary:
- N(E_F): 21.4 states/eV/cell
- Offset from the most stable computed form: 160.1 meV per atom
- Uncorrected energy: -66.252 eV per cell
- Formation energy from the elements: -32 meV/atom
- Crystal system: cubic
- ρ: 9.18 Mg/m³
- Total magnetic moment: 1.5 μB/f.u.

***

(12)
Entry from Alexandria via LeMat-Bulk: a relaxed structure of TaCd2Ru (PBE).

a b c (Å): 3.221 4.526 9.883
angles (deg): 90.00 90.00 90.00
Space group Immm (No. 71)
Unique sites:
1 Ta 0.000 0.000 0.000 (multiplicity 2)
2 Cd 0.000 0.500 0.238 (multiplicity 4)
3 Ru 0.000 0.000 0.500 (multiplicity 2)

Summary:
- N(E_F): 6.2 states/eV/cell
- Offset from the most stable computed form: 249.7 meV per atom
- Uncorrected energy: -43.815 eV per cell
- Formation energy from the elements: 263 meV/atom
- Crystal system: orthorhombic
- ρ: 11.68 Mg/m³
- Total magnetic moment: 0.0 μB/f.u.

***

Q: Which value of N(E_F) does entry 8 give?
A: 14.4 states/eV/cell